(1)
Material: CaBe2Au4
Method: DFT, GGA-PBE
State: optimized geometry

Cell lengths 17.1938, 4.4018, 6.2731 Å; angles 90.00, 90.00, 90.00 degrees
Space group Pnma (No. 62)
Asymmetric unit:
Ca (0.1380, 0.2500, 0.0068) [4 per cell]
Be (0.0380, 0.7500, 0.2567) [4 per cell]
Be (0.2144, 0.2500, 0.5394) [4 per cell]
Au (0.0296, 0.7500, 0.8524) [4 per cell]
Au (0.0746, 0.2500, 0.5066) [4 per cell]
Au (0.1794, 0.7500, 0.3039) [4 per cell]
Au (0.2038, 0.7500, 0.7438) [4 per cell]

ΔH_f (0 K): -325.7 meV/atom
Total magnetization: 0.0 Bohr magnetons per cell
DOS(E_F): 5.7 states/eV/cell

=====

(2)
Material: CsRb2NbTe4
Method: DFT, GGA-PBE
State: optimized geometry

Cell lengths 9.2687, 9.2706, 9.6463 Å; angles 90.00, 90.00, 90.00 degrees
Space group I222 (No. 23)
Asymmetric unit:
Cs (0.0000, 0.0000, 0.0000) [2 per cell]
Rb (0.0000, 0.5000, 0.2508) [4 per cell]
Nb (0.0000, 0.0000, 0.5000) [2 per cell]
Te (0.1666, 0.1664, 0.6530) [8 per cell]

Total magnetization: 0.0 Bohr magnetons per cell
Formation energy (no corrections): -0.77 eV/atom

=====

(3)
Material: KZr2Cd
Method: DFT, GGA-PBE
State: optimized geometry

Cell lengths 4.6818, 4.6818, 9.3882 Å; angles 90.00, 90.00, 90.00 degrees
Space group I-4m2 (No. 119)
Asymmetric unit:
K (0.0000, 0.0000, 0.0000) [2 per cell]
Zr (0.0000, 0.0000, 0.5000) [2 per cell]
Zr (0.0000, 0.5000, 0.7500) [2 per cell]
Cd (0.0000, 0.5000, 0.2500) [2 per cell]

ΔH_f (0 K): 757.0 meV/atom
Total magnetization: 1.8 Bohr magnetons per cell
DOS(E_F): 10.9 states/eV/cell

=====

(4)
Material: SrBeTl2Sn
Method: DFT, GGA-PBE
State: optimized geometry

Cell lengths 4.9711, 4.9711, 5.7974 Å; angles 90.00, 90.00, 90.00 degrees
Space group P4/mmm (No. 123)
Asymmetric unit:
Sr (0.0000, 0.0000, 0.0000) [1 per cell]
Be (0.0000, 0.0000, 0.5000) [1 per cell]
Tl (0.0000, 0.5000, 0.5000) [2 per cell]
Sn (0.5000, 0.5000, 0.0000) [1 per cell]

ΔH_f (0 K): 156.9 meV/atom
Total magnetization: 0.0 Bohr magnetons per cell
DOS(E_F): 3.2 states/eV/cell

=====

(5)
Material: Pm5Er2In2
Method: DFT, GGA-PBE
State: optimized geometry

Cell lengths 16.1007, 10.6350, 6.6097 Å; angles 90.00, 90.00, 90.00 degrees
Space group Ima2 (No. 46)
Asymmetric unit:
Pm (0.0568, 0.2416, 0.0000) [8 per cell]
Pm (0.1505, 0.6918, 0.6433) [8 per cell]
Pm (0.2500, 0.1168, 0.9968) [4 per cell]
Er (0.0000, 0.0000, 0.3065) [4 per cell]
Er (0.2500, 0.0173, 0.4919) [4 per cell]
In (0.0877, 0.5282, 0.2563) [8 per cell]

ΔH_f (0 K): -53.3 meV/atom
Total magnetization: 0.0 Bohr magnetons per cell
DOS(E_F): 44.4 states/eV/cell

=====

(6)
Material: LaHoAg2Se4
Method: DFT, GGA-PBE
State: optimized geometry

Cell lengths 7.0141, 7.1012, 8.7785 Å; angles 90.00, 90.00, 90.00 degrees
Space group I222 (No. 23)
Asymmetric unit:
La (0.0000, 0.0000, 0.0000) [2 per cell]
Ho (0.0000, 0.0000, 0.5000) [2 per cell]
Ag (0.0000, 0.5000, 0.1624) [4 per cell]
Se (0.2248, 0.2463, 0.3393) [8 per cell]

Total magnetization: 0.0 Bohr magnetons per cell
Formation energy (no corrections): -1.10 eV/atom
DOS(E_F): 0.2 states/eV/cell

=====

(7)
Material: La3Ce4Si4
Method: DFT, GGA-PBE
State: optimized geometry

Cell lengths 4.0464, 8.4951, 17.2182 Å; angles 90.00, 90.00, 90.00 degrees
Space group Immm (No. 71)
Asymmetric unit:
La (0.0000, 0.0000, 0.0000) [2 per cell]
La (0.0000, 0.5000, 0.0940) [4 per cell]
Ce (0.0000, 0.3357, 0.3288) [8 per cell]
Si (0.0000, 0.0000, 0.2699) [4 per cell]
Si (0.0000, 0.2229, 0.5000) [4 per cell]

Total magnetization: 4.6 Bohr magnetons per cell
Formation energy (no corrections): -0.51 eV/atom
DOS(E_F): 39.8 states/eV/cell

=====

(8)
Material: Rb2LaVTe
Method: DFT, GGA-PBE
State: optimized geometry

Cell lengths 6.9571, 6.9571, 4.7318 Å; angles 90.00, 90.00, 90.00 degrees
Space group P4/mmm (No. 123)
Asymmetric unit:
Rb (0.0000, 0.5000, 0.0000) [2 per cell]
La (0.0000, 0.0000, 0.0000) [1 per cell]
V (0.0000, 0.0000, 0.5000) [1 per cell]
Te (0.5000, 0.5000, 0.5000) [1 per cell]

Total magnetization: 2.5 Bohr magnetons per cell
Formation energy (no corrections): 0.86 eV/atom
DOS(E_F): 6.6 states/eV/cell

=====

(9)
Material: TlH3Pb
Method: DFT, GGA-PBE
State: optimized geometry

Cell lengths 4.2141, 4.2141, 4.2141 Å; angles 90.00, 90.00, 90.00 degrees
Space group Pm-3m (No. 221)
Asymmetric unit:
Tl (0.0000, 0.0000, 0.0000) [1 per cell]
H (0.0000, 0.0000, 0.5000) [3 per cell]
Pb (0.5000, 0.5000, 0.5000) [1 per cell]

Polymorph energy (0 for the lowest one): 219 meV per atom
Total magnetization: 0.0 Bohr magnetons per cell
DOS(E_F): 2.0 states/eV/cell

=====

(10)
Material: SrSmIn
Method: DFT, GGA-PBE
State: optimized geometry

Cell lengths 5.6080, 5.6080, 7.2507 Å; angles 90.00, 90.00, 120.00 degrees
Space group P6_3/mmc (No. 194)
Asymmetric unit:
Sr (0.0000, 0.0000, 0.0000) [2 per cell]
Sm (0.3333, 0.6667, 0.2500) [2 per cell]
In (0.3333, 0.6667, 0.7500) [2 per cell]

ΔH_f (0 K): -314.9 meV/atom
Polymorph energy (0 for the lowest one): 0 meV per atom
Total magnetization: 0.0 Bohr magnetons per cell
DOS(E_F): 1.6 states/eV/cell

=====

(11)
Material: In3NiOs
Method: DFT, GGA-PBE
State: optimized geometry

Cell lengths 4.8045, 4.8045, 4.8045 Å; angles 90.00, 90.00, 90.00 degrees
Space group Pm-3m (No. 221)
Asymmetric unit:
In (0.0000, 0.0000, 0.5000) [3 per cell]
Ni (0.0000, 0.0000, 0.0000) [1 per cell]
Os (0.5000, 0.5000, 0.5000) [1 per cell]

ΔH_f (0 K): 920.4 meV/atom
Polymorph energy (0 for the lowest one): 98 meV per atom
Total magnetization: 1.9 Bohr magnetons per cell
DOS(E_F): 5.1 states/eV/cell

=====

(12)
Material: RbSn2Hg
Method: DFT, GGA-PBE
State: optimized geometry

Cell lengths 4.8352, 4.8352, 21.5060 Å; angles 90.00, 90.00, 120.00 degrees
Space group R-3m (No. 166, hexagonal axes)
Asymmetric unit:
Rb (0.0000, 0.0000, 0.0000) [3 per cell]
Sn (0.0000, 0.0000, 0.2145) [6 per cell]
Hg (0.0000, 0.0000, 0.5000) [3 per cell]

ΔH_f (0 K): -54.3 meV/atom
Total magnetization: 0.0 Bohr magnetons per cell
DOS(E_F): 7.1 states/eV/cell

=====

Q: Which formula does entry 2 have?
A: CsRb2NbTe4